La3Al4Cu4 after structural relaxation, computed with PBE.

- magnetic moment (μB per cell) = 0.00
- total DFT energy (no corrections) (eV for the cell shown) = -49.82
- energy of formation from the pure elements (eV per atom) = -0.335
- space group = I-43m, No. 217
- volume (Å³ per cell) = 230.4

abc: 6.6888 6.6888 6.6888
angles: 109.47 109.47 109.47
Positions (direct):
La1 0.0000 0.5000 0.5000
La2 0.5000 0.0000 0.5000
La3 0.5000 0.5000 0.0000
Al1 0.0000 0.0000 0.2689
Al2 0.0000 0.2689 0.0000
Al3 0.2689 0.0000 0.0000
Al4 0.7311 0.7311 0.7311
Cu1 0.0000 0.0000 0.6299
Cu2 0.0000 0.6299 0.0000
Cu3 0.3701 0.3701 0.3701
Cu4 0.6299 0.0000 0.0000